First-principles (PBE) data for a relaxed structure of AsPbCl2, as listed in Alexandria.

For the density of states at the Fermi level, the calculation gives 1.91 states/eV per cell. For the energy, the calculation gives -3.279 eV per atom. The total magnetic moment comes out at 0.000 μB/atom. The calculation puts the energy relative to the elements, uncorrected at -0.266 eV per atom.

Cell: 5.5950 5.5950 4.7897 Å, 113.27 113.27 107.96°
Last column: nearest neighbours and their distance in Å.
Fractional positions:
As: 0.0000 0.0000 0.0000  4 Cl 2.88
Pb: 0.5000 0.5000 0.0000  4 Cl 2.88
Cl: 0.0000 0.5000 0.5000  2 As 2.88, 2 Pb 2.88
Cl: 0.5000 0.0000 0.5000  2 As 2.88, 2 Pb 2.88